Entry 1:
! Sm4Sb2N (PBE-GGA, optimized geometry); values from VASP
&SYSTEM
  ibrav = 0, nat = 7, ntyp = 3
/
ATOMIC_SPECIES
Sm 150.36 Sm.upf
Sb 121.76 Sb.upf
N 14.01 N.upf
ATOMIC_POSITIONS angstrom
Sm 2.3789 0.0000 0.0000
Sm 0.0000 0.0000 2.7164
Sm 0.0000 2.3789 0.0000
Sm 0.0000 0.0000 13.7746
Sb 0.0000 0.0000 5.9009
Sb 0.0000 0.0000 10.5901
N 0.0000 0.0000 0.0000
CELL_PARAMETERS angstrom
-2.3789 2.3789 8.2455
2.3789 -2.3789 8.2455
2.3789 2.3789 -8.2455
! - Polymorph energy (0 for the lowest one): 0 meV per atom
! - Formation energy from raw total energies: -1.06 eV/atom
! - Volume: 26.66 Å³/atom
! - Fermi-level density of states: 7.168 states/eV/cell


Entry 2:
! Sm4Sb3N (PBE-GGA, optimized geometry); values from VASP
&SYSTEM
  ibrav = 0, nat = 16, ntyp = 3
/
ATOMIC_SPECIES
Sm 150.36 Sm.upf
Sb 121.76 Sb.upf
N 14.01 N.upf
ATOMIC_POSITIONS angstrom
Sm 0.0000 0.8234 0.0000
Sm 0.0000 7.1096 3.5356
Sm 2.0629 6.0271 0.0060
Sm 2.8611 2.6648 3.1539
Sm 4.9241 1.5823 0.3877
Sm 4.9241 7.8685 3.1479
Sm 6.9870 2.6648 3.1539
Sm 7.7852 6.0271 0.0060
Sb 0.0000 1.3728 3.0849
Sb 2.2789 2.9327 6.2338
Sb 2.6452 5.7592 3.0859
Sb 4.9241 7.3191 6.2328
Sb 7.2029 5.7592 3.0859
Sb 7.5693 2.9327 6.2338
N 0.0000 7.1376 5.8355
N 4.9241 1.5543 2.6876
CELL_PARAMETERS angstrom
9.8482 0.0000 0.0000
0.0000 8.6919 0.0000
0.0000 0.0000 6.2958
! - Formation energy from raw total energies: -0.96 eV/atom
! - Volume: 33.68 Å³/atom
! - Fermi-level density of states: 0.857 states/eV/cell


Entry 3:
! Sm4Sb2N (PBE-GGA, optimized geometry); values from VASP
&SYSTEM
  ibrav = 0, nat = 7, ntyp = 3
/
ATOMIC_SPECIES
Sm 150.36 Sm.upf
Sb 121.76 Sb.upf
N 14.01 N.upf
ATOMIC_POSITIONS angstrom
Sm -0.4649 0.0000 2.4302
Sm 0.9827 0.0000 7.0297
Sm 7.6743 0.0000 0.4245
Sm 9.1219 0.0000 5.0240
Sb 3.0308 0.0000 2.4097
Sb 5.6262 0.0000 5.0445
N 0.0000 0.0000 0.0000
CELL_PARAMETERS angstrom
6.1140 -2.0050 0.0000
6.1140 2.0050 0.0000
-3.5709 0.0000 7.4542
! - Polymorph energy (0 for the lowest one): 56 meV per atom
! - Formation energy from raw total energies: -1.01 eV/atom
! - Volume: 26.11 Å³/atom
! - Fermi-level density of states: 5.872 states/eV/cell